Entry 1:
VASP calculation (PBE-GGA) on crystalline Sb5Se at its relaxed geometry.

**Offset from the most stable computed form**: 0.00 eV per formula unit
**SG**: No. 8

Unit cell a=7.525 b=7.525 c=6.216 alpha=113.08 beta=113.08 gamma=33.25
Fractional coordinates of all 6 atoms:
Sb1 0.000 0.000 0.000
Sb2 0.003 0.003 0.532
Sb3 0.333 0.333 0.870
Sb4 0.342 0.342 0.348
Sb5 0.666 0.666 0.196
Se1 0.673 0.673 0.689



Entry 2:
VASP calculation (PBE-GGA) on crystalline Sb3Se at its relaxed geometry.

**Offset from the most stable computed form**: 0.73 eV per formula unit
**SG**: No. 225

Unit cell a=5.236 b=5.236 c=5.236 alpha=60.00 beta=60.00 gamma=60.00
Fractional coordinates of all 4 atoms:
Sb1 0.000 0.000 0.000
Sb2 0.250 0.250 0.250
Sb3 0.750 0.750 0.750
Se1 0.500 0.500 0.500



Entry 3:
VASP calculation (PBE-GGA) on crystalline Sb2Se at its relaxed geometry.

**SG**: No. 8

Unit cell a=5.989 b=5.989 c=8.319 alpha=96.66 beta=96.66 gamma=39.49
Fractional coordinates of all 6 atoms:
Sb1 0.000 0.000 0.000
Sb2 0.016 0.016 0.432
Sb3 0.419 0.419 0.757
Sb4 0.760 0.760 0.105
Se1 0.323 0.323 0.327
Se2 0.626 0.626 0.632



Entry 4:
VASP calculation (PBE-GGA) on crystalline Sb2Se3 at its relaxed geometry.

**SG**: No. 62

Unit cell a=12.362 b=3.875 c=14.800 alpha=90.00 beta=90.00 gamma=90.00
Fractional coordinates of all 20 atoms:
Sb1 0.110 0.250 0.248
Sb2 0.161 0.750 0.599
Sb3 0.339 0.250 0.099
Sb4 0.390 0.750 0.748
Sb5 0.610 0.250 0.252
Sb6 0.661 0.750 0.901
Sb7 0.839 0.250 0.401
Sb8 0.890 0.750 0.752
Se1 0.061 0.750 0.368
Se2 0.183 0.750 0.775
Se3 0.193 0.750 0.067
Se4 0.307 0.250 0.567
Se5 0.317 0.250 0.275
Se6 0.439 0.250 0.868
Se7 0.561 0.750 0.132
Se8 0.683 0.750 0.725
Se9 0.693 0.750 0.433
Se10 0.807 0.250 0.933
Se11 0.817 0.250 0.225
Se12 0.939 0.250 0.632



Entry 5:
VASP calculation (PBE-GGA) on crystalline SbSe3 at its relaxed geometry.

**Offset from the most stable computed form**: 0.84 eV per formula unit
**SG**: No. 65

Unit cell a=4.232 b=4.232 c=7.559 alpha=90.00 beta=90.00 gamma=124.21
Fractional coordinates of all 4 atoms:
Sb1 0.000 0.000 0.000
Se1 0.000 0.000 0.500
Se2 0.500 0.500 0.257
Se3 0.500 0.500 0.743



Entry 6:
VASP calculation (PBE-GGA) on crystalline SbSe5 at its relaxed geometry.

**Offset from the most stable computed form**: 2.76 eV per formula unit
**SG**: No. 191

Unit cell a=5.227 b=5.227 c=8.186 alpha=90.00 beta=90.00 gamma=120.00
Fractional coordinates of all 6 atoms:
Sb1 0.000 0.000 0.000
Se1 0.000 0.500 0.500
Se2 0.333 0.667 0.000
Se3 0.500 0.000 0.500
Se4 0.500 0.500 0.500
Se5 0.667 0.333 0.000



Entry 7:
VASP calculation (PBE-GGA) on crystalline Sb3Se at its relaxed geometry.

**Offset from the most stable computed form**: 0.00 eV per formula unit
**SG**: No. 63

Unit cell a=6.678 b=6.678 c=6.258 alpha=90.00 beta=90.00 gamma=106.89
Fractional coordinates of all 8 atoms:
Sb1 0.005 0.482 0.250
Sb2 0.036 0.964 0.750
Sb3 0.482 0.005 0.750
Sb4 0.518 0.995 0.250
Sb5 0.964 0.036 0.250
Sb6 0.995 0.518 0.750
Se1 0.413 0.587 0.250
Se2 0.587 0.413 0.750



Entry 8:
VASP calculation (PBE-GGA) on crystalline SbSe2 at its relaxed geometry.

**SG**: No. 205

Unit cell a=6.910 b=6.910 c=6.910 alpha=90.00 beta=90.00 gamma=90.00
Fractional coordinates of all 12 atoms:
Sb1 0.000 0.000 0.000
Sb2 0.000 0.500 0.500
Sb3 0.500 0.000 0.500
Sb4 0.500 0.500 0.000
Se1 0.127 0.627 0.873
Se2 0.127 0.873 0.373
Se3 0.373 0.127 0.873
Se4 0.373 0.373 0.373
Se5 0.627 0.627 0.627
Se6 0.627 0.873 0.127
Se7 0.873 0.127 0.627
Se8 0.873 0.373 0.127



no.,ΔE_f (raw) (eV/f.u.),E (eV for the cell shown),magnetic moment (μB per cell)
1,0.07,-24.03,0.00
2,0.68,-15.17,0.00
3,0.14,-23.18,0.00
4,-0.98,-78.71,0.00
5,0.93,-13.65,0.00
6,3.12,-18.42,1.14
7,-0.04,-31.79,0.00
8,-0.02,-44.43,0.00